(1)
VASP calculation (GGA-PBEsol) on a relaxed CaMg crystal.

Calculated values
total magnetic moment	0.00	μB/f.u.
calculated total energy	-23.6	eV per cell
DOS at the Fermi energy	0.80	states/eV/atom
ΔE_f	-41	meV per atom
theoretical density	1.74	g/cm³
space-group type	Cm (8)

POSCAR file:
```
CaMg
1.0
12.841 0.000 0.000
0.000 3.881 0.000
-2.293 0.000 7.382
Ca Mg
6 6
Cartesian
0.000 0.000 0.000
-0.912 0.000 3.561
0.664 1.940 6.223
6.421 1.940 0.000
5.508 1.940 3.561
7.085 0.000 6.223
1.726 1.940 2.469
3.862 0.000 1.379
2.966 0.000 4.667
8.146 0.000 2.469
10.282 1.940 1.379
9.386 1.940 4.667
```

***

(2)
VASP calculation (GGA-PBEsol) on a relaxed BiTeP2S crystal.

Calculated values
formation energy without anion corrections	1134	meV per atom
total magnetic moment	0.00	μB/f.u.
calculated total energy	-18.1	eV per cell
DOS at the Fermi energy	1.12	states/eV/atom
theoretical density	5.29	g/cm³
space-group type	P4/mmm (123)

POSCAR file:
```
BiTeP2S
1.0
5.229 0.000 0.000
0.000 5.229 0.000
0.000 0.000 4.946
Bi Te P S
1 1 2 1
Cartesian
0.000 0.000 0.000
2.615 2.615 2.473
0.000 2.615 0.000
2.615 0.000 0.000
0.000 0.000 2.473
```

***

(3)
VASP calculation (GGA-PBEsol) on a relaxed CrOsRh2 crystal.

Calculated values
total magnetic moment	0.00	μB/f.u.
calculated total energy	-39.1	eV per cell
DOS at the Fermi energy	0.76	states/eV/atom
ΔE_f	-79	meV per atom
theoretical density	14.26	g/cm³
space-group type	Pmm2 (25)
offset from the most stable computed form	0	meV per atom

POSCAR file:
```
CrOsRh2
1.0
2.653 0.000 0.000
0.000 4.225 0.000
0.000 0.000 4.652
Cr Os Rh
1 1 2
Cartesian
0.000 0.000 0.000
0.000 2.112 3.173
1.327 0.000 2.366
1.327 2.112 0.802
```

***

(4)
VASP calculation (GGA-PBEsol) on a relaxed RbSb2TeMo crystal.

Calculated values
formation energy without anion corrections	123	meV per atom
total magnetic moment	0.00	μB/f.u.
calculated total energy	-24.8	eV per cell
DOS at the Fermi energy	1.00	states/eV/atom
theoretical density	6.00	g/cm³
space-group type	P4/mmm (123)
offset from the most stable computed form	0	meV per atom

POSCAR file:
```
RbSb2TeMo
1.0
5.220 0.000 0.000
0.000 5.220 0.000
0.000 0.000 5.613
Rb Sb Te Mo
1 2 1 1
Cartesian
0.000 0.000 0.000
0.000 2.610 2.806
2.610 0.000 2.806
2.610 2.610 0.000
2.610 2.610 2.806
```

***

(5)
VASP calculation (GGA-PBEsol) on a relaxed MgTi4S8 crystal.

Calculated values
formation energy without anion corrections	-1386	meV per atom
total magnetic moment	0.00	μB/f.u.
calculated total energy	-88.1	eV per cell
DOS at the Fermi energy	0.49	states/eV/atom
theoretical density	3.35	g/cm³
space-group type	R-3m (166)

POSCAR file:
```
MgTi4S8
1.0
3.470 2.004 5.615
-3.470 2.004 5.615
0.000 -4.007 5.615
Mg Ti S
1 4 8
Cartesian
0.000 0.000 0.000
-1.735 -1.002 5.615
-1.735 1.002 11.230
0.000 2.004 5.615
0.000 0.000 8.423
0.000 0.000 4.256
0.000 -1.968 7.040
-1.705 0.984 7.040
-1.705 -0.984 9.806
1.705 0.984 7.040
1.705 -0.984 9.806
0.000 1.968 9.806
0.000 0.000 12.590
```

***

(6)
VASP calculation (GGA-PBEsol) on a relaxed Sc2CdFe2 crystal.

Calculated values
total magnetic moment	2.88	μB/f.u.
calculated total energy	-60.5	eV per cell
DOS at the Fermi energy	1.39	states/eV/atom
ΔE_f	414	meV per atom
theoretical density	5.76	g/cm³
space-group type	I4/mmm (139)

POSCAR file:
```
Sc2CdFe2
1.0
4.145 0.000 0.000
0.000 4.145 0.000
0.000 0.000 10.541
Sc Cd Fe
4 2 4
Cartesian
0.000 2.073 2.635
0.000 2.073 7.906
2.073 0.000 2.635
2.073 0.000 7.906
0.000 0.000 0.000
2.073 2.073 5.271
0.000 0.000 4.252
0.000 0.000 6.289
2.073 2.073 1.019
2.073 2.073 9.522
```